No. 1
A PBEsol-optimized structure of POF3. Source: the Alexandria database, functional SCAN.

a b c (Å): 5.333 5.333 6.188
angles (deg): 90.00 90.00 120.00
Positions (direct):
P (0.333, 0.667, 0.318)
P (0.667, 0.333, 0.682)
O (0.333, 0.667, 0.553)
O (0.667, 0.333, 0.447)
F (0.185, 0.369, 0.206)
F (0.185, 0.815, 0.206)
F (0.369, 0.185, 0.794)
F (0.631, 0.815, 0.206)
F (0.815, 0.185, 0.794)
F (0.815, 0.631, 0.794)

Values from the calculation:
Density: 2265 kg/m³
Energy relative to the elements, uncorrected: -2608.1 meV per atom
Space-group type: P-3m1
Size of the total moment: 0.0 μB per formula unit

=====

No. 2
A PBEsol-optimized structure of P2O3F4. Source: the Alexandria database, functional SCAN.

a b c (Å): 12.451 6.605 6.419
angles (deg): 90.00 90.00 90.00
Positions (direct):
P (0.099, 0.186, 0.121)
P (0.099, 0.814, 0.621)
P (0.401, 0.186, 0.621)
P (0.401, 0.814, 0.121)
P (0.599, 0.186, 0.879)
P (0.599, 0.814, 0.379)
P (0.901, 0.186, 0.379)
P (0.901, 0.814, 0.879)
O (0.000, 0.269, 0.250)
O (0.000, 0.731, 0.750)
O (0.109, 0.030, 0.581)
O (0.109, 0.970, 0.081)
O (0.391, 0.030, 0.081)
O (0.391, 0.970, 0.581)
O (0.500, 0.269, 0.750)
O (0.500, 0.731, 0.250)
O (0.609, 0.030, 0.419)
O (0.609, 0.970, 0.919)
O (0.891, 0.030, 0.919)
O (0.891, 0.970, 0.419)
F (0.092, 0.326, 0.929)
F (0.092, 0.674, 0.429)
F (0.193, 0.286, 0.238)
F (0.193, 0.714, 0.738)
F (0.307, 0.286, 0.738)
F (0.307, 0.714, 0.238)
F (0.408, 0.326, 0.429)
F (0.408, 0.674, 0.929)
F (0.592, 0.326, 0.071)
F (0.592, 0.674, 0.571)
F (0.693, 0.286, 0.762)
F (0.693, 0.714, 0.262)
F (0.807, 0.286, 0.262)
F (0.807, 0.714, 0.762)
F (0.908, 0.326, 0.571)
F (0.908, 0.674, 0.071)

Values from the calculation:
Density: 2340 kg/m³
Energy relative to the elements, uncorrected: -2501.0 meV per atom
Space-group type: Pcca
Size of the total moment: 0.0 μB per formula unit

=====

No. 3
A PBEsol-optimized structure of PPbO2F. Source: the Alexandria database, functional SCAN.

a b c (Å): 4.529 4.529 3.448
angles (deg): 90.00 90.00 90.00
Positions (direct):
P (0.000, 0.000, 0.000)
Pb (0.500, 0.500, 0.000)
O (0.000, 0.500, 0.500)
O (0.500, 0.000, 0.500)
F (0.000, 0.000, 0.500)

Values from the calculation:
Density: 6789 kg/m³
Energy relative to the elements, uncorrected: 248.8 meV per atom
Space-group type: P4/mmm
Size of the total moment: 0.6 μB per formula unit

=====

No. 4
A PBEsol-optimized structure of PPbO2F. Source: the Alexandria database, functional SCAN.

a b c (Å): 4.239 4.239 4.317
angles (deg): 90.00 90.00 90.00
Positions (direct):
P (0.000, 0.000, 0.000)
Pb (0.500, 0.500, 0.500)
O (0.000, 0.500, 0.500)
O (0.500, 0.000, 0.500)
F (0.500, 0.500, 0.000)

Values from the calculation:
Density: 6192 kg/m³
Energy relative to the elements, uncorrected: -87.6 meV per atom
Space-group type: P4/mmm
Size of the total moment: 1.8 μB per formula unit

=====

No. 5
A PBEsol-optimized structure of P3Pb5O12F. Source: the Alexandria database, functional SCAN.

a b c (Å): 9.858 9.858 7.362
angles (deg): 90.00 90.00 120.00
Positions (direct):
P (0.032, 0.402, 0.250)
P (0.370, 0.968, 0.250)
P (0.402, 0.370, 0.750)
P (0.598, 0.630, 0.250)
P (0.630, 0.032, 0.750)
P (0.968, 0.598, 0.750)
Pb (0.001, 0.249, 0.750)
Pb (0.248, 0.999, 0.750)
Pb (0.249, 0.248, 0.250)
Pb (0.333, 0.667, 0.503)
Pb (0.333, 0.667, 0.997)
Pb (0.667, 0.333, 0.003)
Pb (0.667, 0.333, 0.497)
Pb (0.751, 0.752, 0.750)
Pb (0.752, 0.001, 0.250)
Pb (0.999, 0.751, 0.250)
O (0.087, 0.348, 0.080)
O (0.087, 0.348, 0.420)
O (0.120, 0.586, 0.250)
O (0.146, 0.664, 0.750)
O (0.261, 0.913, 0.080)
O (0.261, 0.913, 0.420)
O (0.336, 0.483, 0.750)
O (0.348, 0.261, 0.580)
O (0.348, 0.261, 0.920)
O (0.414, 0.535, 0.250)
O (0.465, 0.880, 0.250)
O (0.483, 0.146, 0.250)
O (0.517, 0.854, 0.750)
O (0.535, 0.120, 0.750)
O (0.586, 0.465, 0.750)
O (0.652, 0.739, 0.080)
O (0.652, 0.739, 0.420)
O (0.664, 0.517, 0.250)
O (0.739, 0.087, 0.580)
O (0.739, 0.087, 0.920)
O (0.854, 0.336, 0.250)
O (0.880, 0.414, 0.750)
O (0.913, 0.652, 0.580)
O (0.913, 0.652, 0.920)
F (0.000, 0.000, 0.250)
F (0.000, 0.000, 0.750)

Values from the calculation:
Density: 7181 kg/m³
Energy relative to the elements, uncorrected: -2103.9 meV per atom
Space-group type: P6_3/m
Size of the total moment: 0.0 μB per formula unit

=====

No. 6
A PBEsol-optimized structure of PPdOF2. Source: the Alexandria database, functional SCAN.

a b c (Å): 4.072 4.072 3.993
angles (deg): 90.00 90.00 90.00
Positions (direct):
P (0.000, 0.000, 0.000)
Pd (0.500, 0.500, 0.500)
O (0.500, 0.500, 0.000)
F (0.000, 0.500, 0.500)
F (0.500, 0.000, 0.500)

Values from the calculation:
Density: 4801 kg/m³
Energy relative to the elements, uncorrected: -148.6 meV per atom
Space-group type: P4/mmm
Size of the total moment: 1.5 μB per formula unit

=====

No. 7
A PBEsol-optimized structure of RbP2OF. Source: the Alexandria database, functional SCAN.

a b c (Å): 6.992 6.992 5.033
angles (deg): 90.00 90.00 90.00
Positions (direct):
Rb (0.000, 0.000, 0.000)
P (0.000, 0.500, 0.000)
P (0.500, 0.000, 0.000)
O (0.000, 0.000, 0.500)
F (0.500, 0.500, 0.500)

Values from the calculation:
Density: 1231 kg/m³
Energy relative to the elements, uncorrected: 1262.0 meV per atom
Space-group type: P4/mmm
Size of the total moment: 8.0 μB per formula unit

=====

No. 8
A PBEsol-optimized structure of RbPO2F2. Source: the Alexandria database, functional SCAN.

a b c (Å): 8.145 6.412 7.813
angles (deg): 90.00 90.00 90.00
Positions (direct):
Rb (0.145, 0.250, 0.143)
Rb (0.355, 0.750, 0.643)
Rb (0.645, 0.250, 0.357)
Rb (0.855, 0.750, 0.857)
P (0.103, 0.250, 0.692)
P (0.397, 0.750, 0.192)
P (0.603, 0.250, 0.808)
P (0.897, 0.750, 0.308)
O (0.106, 0.047, 0.784)
O (0.106, 0.453, 0.784)
O (0.394, 0.547, 0.284)
O (0.394, 0.953, 0.284)
O (0.606, 0.047, 0.716)
O (0.606, 0.453, 0.716)
O (0.894, 0.547, 0.216)
O (0.894, 0.953, 0.216)
F (0.046, 0.750, 0.439)
F (0.245, 0.250, 0.553)
F (0.255, 0.750, 0.053)
F (0.454, 0.250, 0.939)
F (0.546, 0.750, 0.061)
F (0.745, 0.250, 0.947)
F (0.755, 0.750, 0.447)
F (0.954, 0.250, 0.561)

Values from the calculation:
Density: 3035 kg/m³
Energy relative to the elements, uncorrected: -2708.9 meV per atom
Space-group type: Pnma
Size of the total moment: 0.0 μB per formula unit

=====

- Number 1 is which compound?
  POF3